Entry from Alexandria via LeMat-Bulk: a geometry-optimized K3Tl3SnSe8 structure (PBE).

The density of states at the Fermi level comes out at 0.060 states/eV/atom. The calculation puts the volume at 31.2 A^3/atom. As for the spin magnetization: 0.0 μB/f.u. Its raw formation energy is -0.53 eV per atom.

The space group is C2/m (No. 12) and the conventional cell measures 14.316, 8.252 and 9.261 Å, with angles of 90.00, 121.06 and 90.00 degrees. The distinct sites, in fractional coordinates, are K at (0.000, 0.000, 0.000), K at (0.250, 0.250, 0.000), Tl at (0.000, 0.500, 0.500), Tl at (0.250, 0.250, 0.500), Sn at (0.000, 0.000, 0.500), Se at (0.013, 0.239, 0.302), Se at (0.225, 0.000, 0.698) and Se at (0.234, 0.500, 0.700).